Record 1
Here is Rb2SmCd2Se4 after structural relaxation from Alexandria via LeMat-Bulk. Energies are from PBE.

```
9
Lattice="4.268 0.000 0.000 0.000 8.571 0.035 -2.134 -3.354 7.758" Properties=species:S:1:pos:R:3 pbc="T T T"
Cd 2.134 -1.130 2.901
Cd 0.000 6.348 4.891
Rb 0.000 3.960 1.985
Rb 2.134 1.257 5.808
Se 0.000 -1.304 7.397
Se 2.134 4.613 4.872
Se 0.000 0.605 2.921
Se 2.134 6.522 0.396
Sm 0.000 0.000 0.000
```

Computed properties:
SG: C2/m, No. 12
formation energy from raw total energies: -1.10 eV/atom

=====

Record 2
Here is LiGdGaRu after structural relaxation from Alexandria via LeMat-Bulk. Energies are from PBE.

```
4
Lattice="-2.212 -2.596 3.127 1.967 -0.863 4.099 -1.700 1.947 3.838" Properties=species:S:1:pos:R:3 pbc="T T T"
Li -0.486 -0.378 2.766
Ru -1.459 -1.134 8.298
Ga -0.973 -0.756 5.532
Gd 0.000 0.000 0.000
```

Computed properties:
SG: F-43m, No. 216

=====

Record 3
Here is Mg3AlPb after structural relaxation from Alexandria via LeMat-Bulk. Energies are from PBE.

```
5
Lattice="-2.657 -0.142 -4.725 4.127 -2.712 -2.240 -2.305 -4.694 1.437" Properties=species:S:1:pos:R:3 pbc="T T T"
Mg -1.152 -2.347 0.718
Mg -1.329 -0.071 -2.362
Mg 2.064 -1.356 -1.120
Al -0.417 -3.774 -2.764
Pb 0.000 0.000 0.000
```

Computed properties:
SG: Pm-3m, No. 221
energy relative to the lowest polymorph listed for this composition: 233 meV per atom

=====

Record 4
Here is Y3Ag4SbS8 after structural relaxation from Alexandria via LeMat-Bulk. Energies are from PBE.

```
16
Lattice="-7.820 0.969 -1.601 1.423 -0.992 -7.551 2.347 -5.416 5.454" Properties=species:S:1:pos:R:3 pbc="T T T"
Y -2.025 -2.720 -1.849
Y -3.199 -0.012 -4.576
Y 1.885 -3.204 -1.049
Ag 1.173 -2.708 2.727
Ag 0.000 0.000 0.000
Ag -3.910 0.484 -0.800
Ag -2.737 -2.224 1.927
S -5.508 0.454 -3.127
S -0.420 -2.755 0.387
S -1.592 -0.031 -2.325
S 1.457 -5.894 -0.571
S -2.459 -5.409 -1.373
S 0.282 -3.183 -3.303
S -4.332 -2.257 -0.396
S -3.630 -2.685 -4.085
Sb 0.711 -0.496 -3.776
```

Computed properties:
SG: C2/m, No. 12
formation energy from raw total energies: -1.00 eV/atom

=====

Record 5
Here is MgAlTl2 after structural relaxation from Alexandria via LeMat-Bulk. Energies are from PBE.

```
4
Lattice="-2.839 -2.030 4.724 2.710 -4.360 2.854 1.557 5.304 -1.986" Properties=species:S:1:pos:R:3 pbc="T T T"
Tl 2.102 -1.126 2.329
Tl 0.000 0.000 0.000
Al -0.064 -3.195 3.789
Mg -0.673 0.039 3.264
```

Computed properties:
SG: I-4m2, No. 119
energy relative to the lowest polymorph listed for this composition: 52 meV per atom

=====

Record 6
Here is KYNi2 after structural relaxation from Alexandria via LeMat-Bulk. Energies are from PBE.

```
4
Lattice="8.498 -0.059 -0.035 7.713 3.569 -0.035 7.713 1.670 3.155" Properties=species:S:1:pos:R:3 pbc="T T T"
K 17.943 3.886 2.314
Y 5.981 1.295 0.771
Ni 12.323 2.669 1.589
Ni 23.563 5.103 3.038
```

Computed properties:
SG: R-3m, No. 166
energy relative to the lowest polymorph listed for this composition: 363 meV per atom

=====

Record 7
Here is InS2N after structural relaxation from Alexandria via LeMat-Bulk. Energies are from PBE.

```
4
Lattice="3.775 -2.306 6.595 6.432 -2.011 4.200 5.226 0.905 5.910" Properties=species:S:1:pos:R:3 pbc="T T T"
S 1.039 -0.230 1.125
S 14.394 -3.182 15.581
N 0.000 0.000 0.000
In 7.717 -1.706 8.353
```

Computed properties:
SG: R-3m, No. 166
energy relative to the lowest polymorph listed for this composition: 116 meV per atom
formation energy from raw total energies: 0.46 eV/atom

=====

What are the E values for these records? In order: -32.28; -29.48; -9.40; -83.87; -9.50; -17.54; -17.46 eV per cell.